No. 1
# Co2AgAu

An optimized crystal structure of Co2AgAu (GGA-PBE, Alexandria via LeMat-Bulk).

Structure (POSCAR):
```
Co2AgAu
1.0
-2.240 0.528 6.631
2.406 -6.459 1.327
2.411 -1.954 4.685
Co Au Ag
4 2 2
Direct
0.631 0.125 0.250 Co
0.119 0.625 0.250 Co
0.375 0.369 0.750 Co
0.875 0.881 0.750 Co
0.000 0.000 0.000 Au
0.750 0.250 0.500 Au
0.500 0.500 0.000 Ag
0.250 0.750 0.500 Ag
```

Summary:
Final energy = -17.42 eV/f.u.



No. 2
# HoBeGa

An optimized crystal structure of HoBeGa (GGA-PBE, Alexandria via LeMat-Bulk).

Structure (POSCAR):
```
HoBeGa
1.0
4.298 0.000 0.000
2.149 3.722 0.000
2.149 1.241 3.509
Be Ho Ga
1 1 1
Direct
0.250 0.250 0.250 Be
0.500 0.500 0.500 Ho
0.000 0.000 0.000 Ga
```

Summary:
Polymorph energy (0 for the lowest one) = 12.64 kJ/mol of atoms



No. 3
# Ba6MgAu2

An optimized crystal structure of Ba6MgAu2 (GGA-PBE, Alexandria via LeMat-Bulk).

Structure (POSCAR):
```
Ba6MgAu2
1.0
9.534 -0.212 -3.444
-5.180 8.284 -2.712
-0.073 0.212 10.137
Ba Mg Au
12 2 4
Direct
0.537 0.714 0.823 Ba
0.463 0.286 0.177 Ba
0.109 0.286 0.823 Ba
0.891 0.714 0.177 Ba
0.808 0.758 0.566 Ba
0.192 0.242 0.434 Ba
0.192 0.758 0.950 Ba
0.808 0.242 0.050 Ba
0.686 0.351 0.666 Ba
0.314 0.649 0.334 Ba
0.314 0.980 0.666 Ba
0.686 0.020 0.334 Ba
0.000 0.500 0.500 Mg
0.000 0.000 0.000 Mg
0.500 0.376 0.876 Au
0.500 0.624 0.124 Au
0.682 0.000 0.682 Au
0.318 0.000 0.318 Au
```

Summary:
Final energy = -22.76 eV/f.u.



No. 4
# La8Co3Pd2

An optimized crystal structure of La8Co3Pd2 (GGA-PBE, Alexandria via LeMat-Bulk).

Structure (POSCAR):
```
La8Co3Pd2
1.0
7.023 0.017 0.032
0.034 7.115 3.435
0.031 0.084 7.901
La Co Pd
8 3 2
Direct
0.855 0.385 0.385 La
0.145 0.615 0.615 La
0.830 0.889 0.889 La
0.170 0.111 0.111 La
0.670 0.358 0.876 La
0.670 0.876 0.358 La
0.330 0.124 0.642 La
0.330 0.642 0.124 La
0.500 0.000 0.000 Co
0.000 0.741 0.259 Co
0.000 0.259 0.741 Co
0.498 0.743 0.743 Pd
0.502 0.257 0.257 Pd
```

Summary:
Final energy = -74.77 eV/f.u.



No. 5
# ZrTaMoPt

An optimized crystal structure of ZrTaMoPt (GGA-PBE, Alexandria via LeMat-Bulk).

Structure (POSCAR):
```
ZrTaMoPt
1.0
4.639 0.000 0.000
2.320 4.018 0.000
2.320 1.339 3.788
Mo Zr Pt Ta
1 1 1 1
Direct
0.250 0.250 0.250 Mo
0.000 0.000 0.000 Zr
0.750 0.750 0.750 Pt
0.500 0.500 0.500 Ta
```

Summary:
Final energy = -38.92 eV/f.u.



No. 6
# HfCoPN2

An optimized crystal structure of HfCoPN2 (GGA-PBE, Alexandria via LeMat-Bulk).

Structure (POSCAR):
```
HfCoPN2
1.0
3.655 0.000 0.000
0.000 4.193 0.000
0.000 0.000 3.655
Co N Hf P
1 2 1 1
Direct
0.000 0.500 0.000 Co
0.000 0.000 0.500 N
0.500 0.000 0.000 N
0.500 0.500 0.500 Hf
0.000 0.000 0.000 P
```

Summary:
Formation energy without anion corrections = 55 kJ per mole of atoms



No. 7
# Th6SnGe3As2

An optimized crystal structure of Th6SnGe3As2 (GGA-PBE, Alexandria via LeMat-Bulk).

Structure (POSCAR):
```
Th6SnGe3As2
1.0
4.328 0.000 0.000
0.000 8.664 0.315
-2.164 -2.494 9.097
Th Sn Ge As
6 1 3 2
Direct
0.328 0.916 0.656 Th
0.666 0.585 0.333 Th
0.672 0.084 0.344 Th
0.001 0.262 0.001 Th
0.999 0.738 0.999 Th
0.334 0.415 0.667 Th
0.500 0.000 0.000 Sn
0.500 0.500 0.000 Ge
0.835 0.169 0.669 Ge
0.165 0.831 0.331 Ge
0.832 0.665 0.664 As
0.168 0.335 0.336 As
```

Summary:
Final energy = -82.83 eV/f.u.



No. 8
# BaTaBr2

An optimized crystal structure of BaTaBr2 (GGA-PBE, Alexandria via LeMat-Bulk).

Structure (POSCAR):
```
BaTaBr2
1.0
-0.456 1.757 -3.108
-1.534 -5.822 -3.066
-4.876 0.700 1.111
Ba Br Ta
1 2 1
Direct
0.000 0.500 0.500 Ba
0.000 0.000 0.000 Br
0.500 0.500 0.000 Br
0.500 0.000 0.500 Ta
```

Summary:
Formation energy without anion corrections = 4 kJ per mole of atoms
Polymorph energy (0 for the lowest one) = 26.01 kJ/mol of atoms



No. 9
# LiNdDyLu

An optimized crystal structure of LiNdDyLu (GGA-PBE, Alexandria via LeMat-Bulk).

Structure (POSCAR):
```
LiNdDyLu
1.0
-4.470 -2.443 -2.049
0.348 -2.914 -4.640
-0.453 -5.470 0.153
Lu Nd Li Dy
1 1 1 1
Direct
0.500 0.500 0.500 Lu
0.250 0.250 0.250 Nd
0.000 0.000 0.000 Li
0.750 0.750 0.750 Dy
```

Summary:
Final energy = -15.20 eV/f.u.



No. 10
# TiZn7

An optimized crystal structure of TiZn7 (GGA-PBE, Alexandria via LeMat-Bulk).

Structure (POSCAR):
```
TiZn7
1.0
4.110 0.000 1.237
1.869 3.661 1.237
-0.162 -0.099 7.987
Ti Zn
1 7
Direct
0.000 0.000 0.000 Ti
0.876 0.876 0.372 Zn
0.739 0.739 0.783 Zn
0.618 0.618 0.147 Zn
0.500 0.500 0.500 Zn
0.382 0.382 0.853 Zn
0.261 0.261 0.217 Zn
0.124 0.124 0.628 Zn
```

Summary:
Polymorph energy (0 for the lowest one) = 0.20 kJ/mol of atoms



No. 11
# CaSiPb

An optimized crystal structure of CaSiPb (GGA-PBE, Alexandria via LeMat-Bulk).

Structure (POSCAR):
```
CaSiPb
1.0
4.991 0.000 0.000
2.496 4.323 0.000
2.496 1.441 4.075
Ca Pb Si
1 1 1
Direct
0.750 0.750 0.750 Ca
0.000 0.000 0.000 Pb
0.500 0.500 0.500 Si
```

Summary:
Formation energy without anion corrections = 20 kJ per mole of atoms
Polymorph energy (0 for the lowest one) = 52.83 kJ/mol of atoms



No. 12
# LiIn2Hg

An optimized crystal structure of LiIn2Hg (GGA-PBE, Alexandria via LeMat-Bulk).

Structure (POSCAR):
```
LiIn2Hg
1.0
3.326 0.000 0.000
0.000 3.326 0.000
0.000 0.000 8.238
Li Hg In
1 1 2
Direct
0.500 0.500 0.250 Li
0.500 0.500 0.750 Hg
0.000 0.000 0.026 In
0.000 0.000 0.474 In
```

Summary:
Final energy = -8.12 eV/f.u.